VASP calculation (GGA-PBE) on CsLaClF2 after structural relaxation.

## Properties
Crystal system: tetragonal
SG: P4/mmm, No. 123
ΔE_f (raw) (eV/atom): -2.716
N(E_F) (states/eV per cell): 3.99

Unit cell a=4.865 b=4.865 c=5.864 alpha=90.00 beta=90.00 gamma=90.00
Fractional coordinates of all 5 atoms:
F1 0.500 0.000 0.000
F2 0.000 0.500 0.000
La1 0.000 0.000 0.000
Cs1 0.500 0.500 0.500
Cl1 0.000 0.000 0.500